VASP calculation (GGA-PBE) on crystalline TaTc2Pb at its relaxed geometry.

Cell and atoms, written as CIF:
```
data_TaTc2Pb
_space_group_name_H-M_alt 'P 4 m m'
_space_group_IT_number 99
_cell_length_a 3.0018
_cell_length_b 3.0018
_cell_length_c 8.0204
_cell_angle_alpha 90.00
_cell_angle_beta 90.00
_cell_angle_gamma 90.00
loop_
_space_group_symop_operation_xyz
'x,y,z'
'-y,x,z'
'-x,-y,z'
'y,-x,z'
'-x,y,z'
'y,x,z'
'x,-y,z'
'-y,-x,z'
loop_
_atom_site_label
_atom_site_fract_x
_atom_site_fract_y
_atom_site_fract_z
Ta1 0.0000 0.0000 0.0000
Tc1 0.0000 0.0000 0.4279
Tc2 0.5000 0.5000 0.2380
Pb1 0.5000 0.5000 0.7021
```

DFT formation energy = 7.5 kcal/mol of atoms
DOS at the Fermi energy = 1.00 states/eV/atom
E_tot = -8.75 eV/atom



VASP calculation (GGA-PBE) on crystalline HoS6Br2 at its relaxed geometry.

Cell and atoms, written as CIF:
```
data_HoS6Br2
_space_group_name_H-M_alt 'P -1'
_space_group_IT_number 2
_cell_length_a 4.1754
_cell_length_b 8.4573
_cell_length_c 9.1112
_cell_angle_alpha 115.94
_cell_angle_beta 93.09
_cell_angle_gamma 91.82
loop_
_space_group_symop_operation_xyz
'x,y,z'
'-x,-y,-z'
loop_
_atom_site_label
_atom_site_fract_x
_atom_site_fract_y
_atom_site_fract_z
Ho1 0.0000 0.0000 0.0000
S1 0.0979 0.4995 0.7216
S2 0.0999 0.7175 0.4616
S3 0.1241 0.2915 0.2959
Br1 0.4993 0.8612 0.1175
```

energy relative to the elements, uncorrected = -0.540 eV/atom
DOS at the Fermi energy = 0.19 states/eV/atom
E_tot = -4.17 eV/atom



VASP calculation (GGA-PBE) on crystalline CuAgOs2 at its relaxed geometry.

Cell and atoms, written as CIF:
```
data_CuAgOs2
_space_group_name_H-M_alt 'R -3 m'
_space_group_IT_number 166
_space_group_name_Hall '-R 3 2"'
_cell_length_a 2.7093
_cell_length_b 2.7093
_cell_length_c 27.6016
_cell_angle_alpha 90.00
_cell_angle_beta 90.00
_cell_angle_gamma 120.00
loop_
_atom_site_label
_atom_site_fract_x
_atom_site_fract_y
_atom_site_fract_z
Cu1 0.0000 0.0000 0.0000
Ag1 0.0000 0.0000 0.5000
Os1 0.0000 0.0000 0.2558
```

DFT formation energy = 11.6 kcal/mol of atoms
DOS at the Fermi energy = 1.00 states/eV/atom
excess energy over the best structure of this formula in the dataset = 18.85 kJ per mole of atoms
E_tot = -6.85 eV/atom



VASP calculation (GGA-PBE) on crystalline In4GePd7 at its relaxed geometry.

Cell and atoms, written as CIF:
```
data_In4GePd7
_space_group_name_H-M_alt 'C 1 2/m 1'
_space_group_IT_number 12
_cell_length_a 10.8380
_cell_length_b 4.7913
_cell_length_c 9.6948
_cell_angle_alpha 90.00
_cell_angle_beta 117.36
_cell_angle_gamma 90.00
loop_
_space_group_symop_operation_xyz
'x,y,z'
'-x,-y,-z'
'-x,y,-z'
'x,-y,z'
'x+1/2,y+1/2,z'
'-x+1/2,-y+1/2,-z'
'-x+1/2,y+1/2,-z'
'x+1/2,-y+1/2,z'
loop_
_atom_site_label
_atom_site_fract_x
_atom_site_fract_y
_atom_site_fract_z
In1 0.0890 0.0000 0.2679
In2 0.2374 0.5000 0.1678
Ge1 0.0000 0.5000 0.5000
Pd1 0.0000 0.0000 0.5000
Pd2 0.0814 0.5000 0.7929
Pd3 0.1363 0.0000 0.0151
Pd4 0.1972 0.5000 0.4258
```

DFT formation energy = -8.4 kcal/mol of atoms
DOS at the Fermi energy = 0.38 states/eV/atom
E_tot = -4.69 eV/atom



VASP calculation (GGA-PBE) on crystalline BeAgS2 at its relaxed geometry.

Cell and atoms, written as CIF:
```
data_BeAgS2
_space_group_name_H-M_alt 'R -3 m'
_space_group_IT_number 166
_space_group_name_Hall '-R 3 2"'
_cell_length_a 3.2321
_cell_length_b 3.2321
_cell_length_c 21.8473
_cell_angle_alpha 90.00
_cell_angle_beta 90.00
_cell_angle_gamma 120.00
loop_
_atom_site_label
_atom_site_fract_x
_atom_site_fract_y
_atom_site_fract_z
Be1 0.0000 0.0000 0.0000
Ag1 0.0000 0.0000 0.5000
S1 0.0000 0.0000 0.3910
```

energy relative to the elements, uncorrected = -0.176 eV/atom
DOS at the Fermi energy = 0.45 states/eV/atom
E_tot = -3.88 eV/atom



VASP calculation (GGA-PBE) on crystalline Tm6In2Pt at its relaxed geometry.

Cell and atoms, written as CIF:
```
data_Tm6In2Pt
_space_group_name_H-M_alt 'I m m m'
_space_group_IT_number 71
_space_group_name_Hall '-I 2 2'
_cell_length_a 4.9992
_cell_length_b 7.1605
_cell_length_c 14.8962
_cell_angle_alpha 90.00
_cell_angle_beta 90.00
_cell_angle_gamma 90.00
loop_
_atom_site_label
_atom_site_fract_x
_atom_site_fract_y
_atom_site_fract_z
Tm1 0.0000 0.2281 0.0000
Tm2 0.0000 0.2613 0.3432
In1 0.0000 0.5000 0.1672
Pt1 0.0000 0.5000 0.5000
```

DFT formation energy = -8.4 kcal/mol of atoms
DOS at the Fermi energy = 0.45 states/eV/atom
excess energy over the best structure of this formula in the dataset = 17.03 kJ per mole of atoms
E_tot = -4.63 eV/atom



VASP calculation (GGA-PBE) on crystalline P3AuF at its relaxed geometry.

Cell and atoms, written as CIF:
```
data_P3AuF
_space_group_name_H-M_alt 'P m -3 m'
_space_group_IT_number 221
_space_group_name_Hall '-P 4 2 3'
_cell_length_a 4.8545
_cell_length_b 4.8545
_cell_length_c 4.8545
_cell_angle_alpha 90.00
_cell_angle_beta 90.00
_cell_angle_gamma 90.00
loop_
_atom_site_label
_atom_site_fract_x
_atom_site_fract_y
_atom_site_fract_z
P1 0.0000 0.0000 0.5000
Au1 0.0000 0.0000 0.0000
F1 0.5000 0.5000 0.5000
```

energy relative to the elements, uncorrected = 1.092 eV/atom
DOS at the Fermi energy = 1.26 states/eV/atom
excess energy over the best structure of this formula in the dataset = 17.83 kJ per mole of atoms
E_tot = -3.18 eV/atom



VASP calculation (GGA-PBE) on crystalline SrMg2SnHg2 at its relaxed geometry.

Cell and atoms, written as CIF:
```
data_SrMg2SnHg2
_space_group_name_H-M_alt 'P -3 m 1'
_space_group_IT_number 164
_space_group_name_Hall '-P 3 2"'
_cell_length_a 5.0010
_cell_length_b 5.0010
_cell_length_c 7.3463
_cell_angle_alpha 90.00
_cell_angle_beta 90.00
_cell_angle_gamma 120.00
loop_
_atom_site_label
_atom_site_fract_x
_atom_site_fract_y
_atom_site_fract_z
Sr1 0.0000 0.0000 0.0000
Mg1 0.3333 0.6667 0.6647
Sn1 0.0000 0.0000 0.5000
Hg1 0.3333 0.6667 0.2278
```

DFT formation energy = -7.9 kcal/mol of atoms
DOS at the Fermi energy = 0.44 states/eV/atom
E_tot = -1.92 eV/atom



VASP calculation (GGA-PBE) on crystalline U2Pd13 at its relaxed geometry.

Cell and atoms, written as CIF:
```
data_U2Pd13
_space_group_name_H-M_alt 'R -3 m'
_space_group_IT_number 166
_space_group_name_Hall '-R 3 2"'
_cell_length_a 7.2389
_cell_length_b 7.2389
_cell_length_c 17.6247
_cell_angle_alpha 90.00
_cell_angle_beta 90.00
_cell_angle_gamma 120.00
loop_
_atom_site_label
_atom_site_fract_x
_atom_site_fract_y
_atom_site_fract_z
U1 0.0000 0.0000 0.1650
Pd1 0.0000 0.0000 0.0000
Pd2 0.0625 0.5313 0.2262
Pd3 0.0777 0.5388 0.3816
```

DFT formation energy = -4.4 kcal/mol of atoms
DOS at the Fermi energy = 0.83 states/eV/atom
excess energy over the best structure of this formula in the dataset = 0.00 kJ per mole of atoms
E_tot = -6.20 eV/atom



VASP calculation (GGA-PBE) on crystalline DyLuAgGe at its relaxed geometry.

Cell and atoms, written as CIF:
```
data_DyLuAgGe
_space_group_name_H-M_alt 'F -4 3 m'
_space_group_IT_number 216
_space_group_name_Hall 'F -4 2 3'
_cell_length_a 7.1132
_cell_length_b 7.1132
_cell_length_c 7.1132
_cell_angle_alpha 90.00
_cell_angle_beta 90.00
_cell_angle_gamma 90.00
loop_
_atom_site_label
_atom_site_fract_x
_atom_site_fract_y
_atom_site_fract_z
Dy1 0.0000 0.0000 0.0000
Lu1 0.0000 0.0000 0.5000
Ag1 0.2500 0.2500 0.7500
Ge1 0.2500 0.2500 0.2500
```

DFT formation energy = -11.7 kcal/mol of atoms
DOS at the Fermi energy = 0.79 states/eV/atom
E_tot = -4.65 eV/atom



VASP calculation (GGA-PBE) on crystalline Ga2BrO2 at its relaxed geometry.

Cell and atoms, written as CIF:
```
data_Ga2BrO2
_space_group_name_H-M_alt 'P 4/m b m'
_space_group_IT_number 127
_space_group_name_Hall '-P 4 2ab'
_cell_length_a 6.8103
_cell_length_b 6.8103
_cell_length_c 2.9933
_cell_angle_alpha 90.00
_cell_angle_beta 90.00
_cell_angle_gamma 90.00
loop_
_atom_site_label
_atom_site_fract_x
_atom_site_fract_y
_atom_site_fract_z
Ga1 0.1321 0.3679 0.0000
Br1 0.0000 0.0000 0.0000
O1 0.1229 0.6229 0.5000
```

energy relative to the elements, uncorrected = -0.346 eV/atom
DOS at the Fermi energy = 0.40 states/eV/atom
excess energy over the best structure of this formula in the dataset = 63.92 kJ per mole of atoms
E_tot = -3.87 eV/atom



VASP calculation (GGA-PBE) on crystalline Zr3GeMo at its relaxed geometry.

Cell and atoms, written as CIF:
```
data_Zr3GeMo
_space_group_name_H-M_alt 'P m -3 m'
_space_group_IT_number 221
_space_group_name_Hall '-P 4 2 3'
_cell_length_a 4.9469
_cell_length_b 4.9469
_cell_length_c 4.9469
_cell_angle_alpha 90.00
_cell_angle_beta 90.00
_cell_angle_gamma 90.00
loop_
_atom_site_label
_atom_site_fract_x
_atom_site_fract_y
_atom_site_fract_z
Zr1 0.0000 0.0000 0.5000
Ge1 0.0000 0.0000 0.0000
Mo1 0.5000 0.5000 0.5000
```

DFT formation energy = 16.7 kcal/mol of atoms
DOS at the Fermi energy = 0.81 states/eV/atom
excess energy over the best structure of this formula in the dataset = 2.19 kJ per mole of atoms
E_tot = -7.49 eV/atom